# 1
VASP calculation (PBE) on crystalline LiNiH3 at its relaxed geometry.

The value obtained for the total energy is -3.75 eV/atom. The calculation puts the volume at 298 Å³/cell.

The space group is C2/c (No. 15) and the conventional cell measures 8.412, 7.791 and 4.559 Å, with angles of 90.00, 94.35 and 90.00 degrees. The distinct sites, in fractional coordinates, are Li at (0.189, 0.122, 0.225), Ni at (0.000, 0.249, 0.750), Ni at (0.000, 0.420, 0.250), H at (0.084, 0.270, 0.449), H at (0.098, 0.407, 0.929) and H at (0.138, 0.115, 0.815).


# 2
VASP calculation (PBE) on crystalline LiNiH3 at its relaxed geometry.

The value obtained for the total energy is -3.70 eV/atom. The calculation puts the volume at 142 Å³/cell.

The space group is Pnma (No. 62) and the conventional cell measures 4.267, 7.928 and 4.193 Å, with angles of 90.00, 90.00 and 90.00 degrees. The distinct sites, in fractional coordinates, are Li at (0.000, 0.000, 0.000), Ni at (0.002, 0.250, 0.448), H at (0.248, 0.750, 0.249) and H at (0.249, 0.631, 0.749).


# 3
VASP calculation (PBE) on crystalline LiNi2H at its relaxed geometry.

The value obtained for the total energy is -4.16 eV/atom. The calculation puts the volume at 182 Å³/cell. For the excess energy over the best structure of this formula in the dataset, the calculation gives 0.0 meV per atom.

The space group is I4_1/amd (No. 141, origin choice 2) and the conventional cell measures 5.046, 5.046 and 7.128 Å, with angles of 90.00, 90.00 and 90.00 degrees. The distinct sites, in fractional coordinates, are Li at (0.000, 0.250, 0.375), Ni at (0.000, 0.000, 0.000) and H at (0.000, 0.250, 0.875).


# 4
VASP calculation (PBE) on crystalline LiNiH3 at its relaxed geometry.

The value obtained for the total energy is -3.79 eV/atom. The calculation puts the volume at 83 Å³/cell.

The space group is P1 (No. 1) and the conventional cell measures 4.490, 4.491 and 5.017 Å, with angles of 70.83, 80.85 and 60.35 degrees. The distinct sites, in fractional coordinates, are Li at (0.000, 0.000, 0.000), Li at (0.335, 0.483, 0.527), Ni at (0.003, 0.170, 0.470), Ni at (0.668, 0.838, 0.470), H at (0.331, 0.958, 0.283), H at (0.335, 0.027, 0.664), H at (0.704, 0.200, 0.295), H at (0.742, 0.430, 0.661), H at (0.931, 0.839, 0.665) and H at (0.950, 0.575, 0.286).


# 5
VASP calculation (PBE) on crystalline Li3Ni2H9 at its relaxed geometry.

The value obtained for the total energy is -3.56 eV/atom. The calculation puts the volume at 96 Å³/cell.

The space group is P-3m1 (No. 164) and the conventional cell measures 4.4900, 4.4900 and 5.5215 Å, with angles of 90.00, 90.00 and 120.00 degrees. The distinct sites, in fractional coordinates, are Li at (0.0000, 0.0000, 0.0000), Li at (0.3333, 0.6667, 0.3528), Ni at (0.3333, 0.6667, 0.8282), H at (0.0000, 0.5000, 0.0000) and H at (0.1717, 0.3433, 0.6686).


# 6
VASP calculation (PBE) on crystalline LiNi4H5 at its relaxed geometry.

The value obtained for the total energy is -4.32 eV/atom. The calculation puts the volume at 129 Å³/cell.

The space group is I4/m (No. 87) and the conventional cell measures 5.909, 5.909 and 3.708 Å, with angles of 90.00, 90.00 and 90.00 degrees. The distinct sites, in fractional coordinates, are Li at (0.000, 0.000, 0.000), Ni at (0.099, 0.297, 0.500), H at (0.000, 0.000, 0.500) and H at (0.124, 0.316, 0.000).


# 7
VASP calculation (PBE) on crystalline LiNiH2 at its relaxed geometry.

The value obtained for the total energy is -3.82 eV/atom. The calculation puts the volume at 29 Å³/cell. For the excess energy over the best structure of this formula in the dataset, the calculation gives 0.0 meV per atom.

The space group is P4/mmm (No. 123) and the conventional cell measures 3.249, 3.249 and 2.762 Å, with angles of 90.00, 90.00 and 90.00 degrees. The distinct sites, in fractional coordinates, are Li at (0.000, 0.000, 0.000), Ni at (0.500, 0.500, 0.500) and H at (0.000, 0.500, 0.500).


# 8
VASP calculation (PBE) on crystalline Li2Ni2H7 at its relaxed geometry.

The value obtained for the total energy is -3.65 eV/atom. The calculation puts the volume at 143 Å³/cell.

The space group is Cmmm (No. 65) and the conventional cell measures 5.435, 6.182 and 4.270 Å, with angles of 90.00, 90.00 and 90.00 degrees. The distinct sites, in fractional coordinates, are Li at (0.240, 0.000, 0.000), Ni at (0.000, 0.273, 0.500), H at (0.000, 0.000, 0.500), H at (0.000, 0.500, 0.296) and H at (0.250, 0.250, 0.277).


# 9
VASP calculation (PBE) on crystalline LiNiH3 at its relaxed geometry.

The value obtained for the total energy is -3.38 eV/atom. The calculation puts the volume at 110 Å³/cell.

The space group is R3m (No. 160, hexagonal axes) and the conventional cell measures 4.6652, 4.6652 and 5.8332 Å, with angles of 90.00, 90.00 and 120.00 degrees. The distinct sites, in fractional coordinates, are Li at (0.0000, 0.0000, 0.0000), Ni at (0.0000, 0.0000, 0.5793) and H at (0.0592, 0.5296, 0.4270).


# 10
VASP calculation (PBE) on crystalline Li3Ni2H4 at its relaxed geometry.

The value obtained for the total energy is -3.69 eV/atom. The calculation puts the volume at 148 Å³/cell.

The space group is C2/m (No. 12) and the conventional cell measures 9.246, 2.837 and 6.855 Å, with angles of 90.00, 124.80 and 90.00 degrees. The distinct sites, in fractional coordinates, are Li at (0.000, 0.000, 0.000), Li at (0.158, 0.000, 0.741), Ni at (0.111, 0.500, 0.374), H at (0.084, 0.500, 0.866) and H at (0.205, 0.000, 0.343).


# 11
VASP calculation (PBE) on crystalline Li2Ni2H5 at its relaxed geometry.

The value obtained for the total energy is -3.73 eV/atom. The calculation puts the volume at 262 Å³/cell. For the excess energy over the best structure of this formula in the dataset, the calculation gives 98.9 meV per atom.

The space group is Cmce (No. 64) and the conventional cell measures 9.063, 5.864 and 4.933 Å, with angles of 90.00, 90.00 and 90.00 degrees. The distinct sites, in fractional coordinates, are Li at (0.219, 0.000, 0.000), Ni at (0.000, 0.240, 0.384), H at (0.000, 0.000, 0.000) and H at (0.121, 0.208, 0.638).


# 12
VASP calculation (PBE) on crystalline LiNiH3 at its relaxed geometry.

The value obtained for the total energy is -3.63 eV/atom. The calculation puts the volume at 60 Å³/cell.

The space group is P6_3/mmc (No. 194) and the conventional cell measures 2.9998, 2.9998 and 7.6453 Å, with angles of 90.00, 90.00 and 120.00 degrees. The distinct sites, in fractional coordinates, are Li at (0.3333, 0.6667, 0.2500), Ni at (0.0000, 0.0000, 0.0000), H at (0.0000, 0.0000, 0.2500) and H at (0.3333, 0.6667, 0.5590).


| no. | ρ (g cm⁻³) |
| --- | --- |
| 1 | 3.1 |
| 2 | 3.2 |
| 3 | 4.6 |
| 4 | 2.7 |
| 5 | 2.5 |
| 6 | 6.3 |
| 7 | 3.9 |
| 8 | 3.2 |
| 9 | 3.1 |
| 10 | 3.2 |
| 11 | 3.5 |
| 12 | 3.8 |